Record 1
Here is a relaxed Sm3Ir2Pd crystal from Alexandria via LeMat-Bulk. Energies are from PBE.

Unit cell a=3.5380 b=3.5380 c=10.5812 alpha=90.00 beta=90.00 gamma=90.00
Fractional coordinates of all 6 atoms:
Sm 0.0000 0.0000 0.0000
Sm 0.0000 0.0000 0.3236
Sm 0.0000 0.0000 0.6764
Ir 0.5000 0.5000 0.1671
Ir 0.5000 0.5000 0.8329
Pd 0.5000 0.5000 0.5000

Calculated values
Offset from the most stable computed form, meV per atom: 3
N(E_F), states/eV per cell: 4.3
Symmetry: P4/mmm, No. 123
Formation energy from the elements, eV per formula unit: -4.28
Total energy, eV/atom: -6.89


Record 2
Here is a relaxed ScOsCl2 crystal from Alexandria via LeMat-Bulk. Energies are from PBE.

Unit cell a=8.5443 b=8.5443 c=8.5443 alpha=150.93 beta=150.93 gamma=41.57
Fractional coordinates of all 8 atoms:
Sc 0.0000 0.0000 0.0000
Sc 0.7500 0.2500 0.5000
Os 0.2500 0.7500 0.5000
Os 0.5000 0.5000 0.0000
Cl 0.1422 0.6250 0.0172
Cl 0.3750 0.3922 0.5172
Cl 0.6078 0.1250 0.9828
Cl 0.8750 0.8578 0.4828

Calculated values
Offset from the most stable computed form, meV per atom: 438
N(E_F), states/eV per cell: 7.5
Symmetry: I-42d, No. 122
Total energy, eV/atom: -5.42


Record 3
Here is a relaxed CuW2Br crystal from Alexandria via LeMat-Bulk. Energies are from PBE.

Unit cell a=8.8441 b=8.8441 c=8.8441 alpha=19.00 beta=19.00 gamma=19.00
Fractional coordinates of all 4 atoms:
Cu 0.0000 0.0000 0.0000
W 0.2517 0.2517 0.2517
W 0.7483 0.7483 0.7483
Br 0.5000 0.5000 0.5000

Calculated values
Offset from the most stable computed form, meV per atom: 373
N(E_F), states/eV per cell: 2.3
Symmetry: R-3m, No. 166
Total energy, eV/atom: -7.02


Record 4
Here is a relaxed Li7Zn2Ni2 crystal from Alexandria via LeMat-Bulk. Energies are from PBE.

Unit cell a=5.1279 b=5.1279 c=6.4734 alpha=97.94 beta=97.94 gamma=94.06
Fractional coordinates of all 11 atoms:
Li 0.0000 0.0000 0.0000
Li 0.0756 0.4692 0.7867
Li 0.1657 0.1657 0.4367
Li 0.4692 0.0756 0.7867
Li 0.5308 0.9244 0.2133
Li 0.8343 0.8343 0.5633
Li 0.9244 0.5308 0.2133
Zn 0.4108 0.4108 0.1608
Zn 0.5892 0.5892 0.8392
Ni 0.3368 0.6632 0.5000
Ni 0.6632 0.3368 0.5000

Calculated values
N(E_F), states/eV per cell: 4.1
Symmetry: C2/m, No. 12
Formation energy from the elements, eV per formula unit: -0.49
Total energy, eV/atom: -2.54


Record 5
Here is a relaxed Na4AcLa3Se8 crystal from Alexandria via LeMat-Bulk. Energies are from PBE.

Unit cell a=8.6380 b=8.6380 c=8.6380 alpha=61.56 beta=61.56 gamma=61.56
Fractional coordinates of all 16 atoms:
Na 0.0000 0.0000 0.0000
Na 0.0000 0.5000 0.5000
Na 0.5000 0.0000 0.5000
Na 0.5000 0.5000 0.0000
Ac 0.5000 0.5000 0.5000
La 0.0000 0.0000 0.5000
La 0.0000 0.5000 0.0000
La 0.5000 0.0000 0.0000
Se 0.2401 0.7499 0.7499
Se 0.2453 0.2453 0.2453
Se 0.2501 0.2501 0.7599
Se 0.2501 0.7599 0.2501
Se 0.7499 0.2401 0.7499
Se 0.7499 0.7499 0.2401
Se 0.7547 0.7547 0.7547
Se 0.7599 0.2501 0.2501

Calculated values
N(E_F), states/eV per cell: 0.0
Symmetry: R-3m, No. 166
Total energy, eV/atom: -5.00


Record 6
Here is a relaxed Li2GaGe crystal from Alexandria via LeMat-Bulk. Energies are from PBE.

Unit cell a=4.9989 b=4.9989 c=2.7828 alpha=90.00 beta=90.00 gamma=114.51
Fractional coordinates of all 4 atoms:
Li 0.0000 0.5000 0.0000
Li 0.5000 0.0000 0.0000
Ga 0.0000 0.0000 0.5000
Ge 0.5000 0.5000 0.5000

Calculated values
Offset from the most stable computed form, meV per atom: 10
N(E_F), states/eV per cell: 0.8
Symmetry: Cmmm, No. 65
Formation energy from the elements, eV per formula unit: -1.12
Total energy, eV/atom: -3.15


Record 7
Here is a relaxed ZnCdCu4 crystal from Alexandria via LeMat-Bulk. Energies are from PBE.

Unit cell a=8.4297 b=8.4297 c=7.1409 alpha=90.00 beta=90.00 gamma=160.62
Fractional coordinates of all 12 atoms:
Zn 0.2474 0.7526 0.7500
Zn 0.7526 0.2474 0.2500
Cd 0.4050 0.5950 0.2500
Cd 0.5950 0.4050 0.7500
Cu 0.0000 0.0000 0.0000
Cu 0.0000 0.0000 0.5000
Cu 0.1626 0.8374 0.0472
Cu 0.1626 0.8374 0.4528
Cu 0.4275 0.5725 0.7500
Cu 0.5725 0.4275 0.2500
Cu 0.8374 0.1626 0.5472
Cu 0.8374 0.1626 0.9528

Calculated values
Offset from the most stable computed form, meV per atom: 20
N(E_F), states/eV per cell: 3.5
Symmetry: Cmcm, No. 63
Formation energy from the elements, eV per formula unit: 0.29
Total energy, eV/atom: -3.05


Record 8
Here is a relaxed ZnGe2H2 crystal from Alexandria via LeMat-Bulk. Energies are from PBE.

Unit cell a=4.4645 b=4.4645 c=4.4645 alpha=118.35 beta=118.35 gamma=92.88
Fractional coordinates of all 5 atoms:
Zn 0.0000 0.0000 0.0000
Ge 0.2500 0.7500 0.5000
Ge 0.7500 0.2500 0.5000
H 0.4372 0.4372 0.0000
H 0.5628 0.5628 0.0000

Calculated values
Offset from the most stable computed form, meV per atom: 0
N(E_F), states/eV per cell: 0.9
Symmetry: I4/mmm, No. 139
Total energy, eV/atom: -3.16


Record 9
Here is a relaxed LaSm2Pa crystal from Alexandria via LeMat-Bulk. Energies are from PBE.

Unit cell a=12.7071 b=12.7071 c=12.7071 alpha=15.34 beta=15.34 gamma=15.34
Fractional coordinates of all 4 atoms:
La 0.0000 0.0000 0.0000
Sm 0.4143 0.4143 0.4143
Sm 0.5857 0.5857 0.5857
Pa 0.5000 0.5000 0.5000

Calculated values
Offset from the most stable computed form, meV per atom: 191
N(E_F), states/eV per cell: 6.2
Symmetry: R-3m, No. 166
Formation energy from the elements, eV per formula unit: 1.34
Total energy, eV/atom: -5.63


Record 10
Here is a relaxed Te2IrS6 crystal from Alexandria via LeMat-Bulk. Energies are from PBE.

Unit cell a=6.8451 b=6.8451 c=11.0868 alpha=116.44 beta=116.44 gamma=30.86
Fractional coordinates of all 9 atoms:
Te 0.1570 0.1570 0.3236
Te 0.8430 0.8430 0.6764
Ir 0.5000 0.5000 0.0000
S 0.1330 0.1330 0.0829
S 0.1879 0.1879 0.6189
S 0.4926 0.4926 0.2091
S 0.5074 0.5074 0.7909
S 0.8121 0.8121 0.3811
S 0.8670 0.8670 0.9171

Calculated values
N(E_F), states/eV per cell: 1.9
Symmetry: C2/m, No. 12
Total energy, eV/atom: -4.49


Record 11
Here is a relaxed K2Tl2H4Rh crystal from Alexandria via LeMat-Bulk. Energies are from PBE.

Unit cell a=6.2416 b=6.2416 c=6.2416 alpha=114.88 beta=114.88 gamma=99.12
Fractional coordinates of all 9 atoms:
K 0.2500 0.7500 0.5000
K 0.7500 0.2500 0.5000
Tl 0.1764 0.1764 0.0000
Tl 0.8236 0.8236 0.0000
H 0.3198 0.3198 0.6396
H 0.3198 0.6802 0.0000
H 0.6802 0.3198 0.0000
H 0.6802 0.6802 0.3604
Rh 0.5000 0.5000 0.0000

Calculated values
N(E_F), states/eV per cell: 4.8
Symmetry: I4/mmm, No. 139
Total energy, eV/atom: -3.11


Record 12
Here is a relaxed Ca2EuIn crystal from Alexandria via LeMat-Bulk. Energies are from PBE.

Unit cell a=3.8058 b=3.8058 c=9.9393 alpha=90.00 beta=90.00 gamma=90.00
Fractional coordinates of all 4 atoms:
Ca 0.0000 0.0000 0.1972
Ca 0.0000 0.0000 0.8028
Eu 0.5000 0.5000 0.5000
In 0.5000 0.5000 0.0000

Calculated values
Offset from the most stable computed form, meV per atom: 0
N(E_F), states/eV per cell: 10.7
Symmetry: P4/mmm, No. 123
Formation energy from the elements, eV per formula unit: -0.86
Total energy, eV/atom: -4.47


Record 13
Here is a relaxed Pm6Si3Ge crystal from Alexandria via LeMat-Bulk. Energies are from PBE.

Unit cell a=8.4140 b=8.4140 c=8.4140 alpha=85.28 beta=85.28 gamma=85.28
Fractional coordinates of all 20 atoms:
Pm 0.1141 0.8502 0.7098
Pm 0.1498 0.2902 0.8859
Pm 0.1675 0.5100 0.3868
Pm 0.2902 0.8859 0.1498
Pm 0.3868 0.1675 0.5100
Pm 0.4900 0.6132 0.8325
Pm 0.5100 0.3868 0.1675
Pm 0.6132 0.8325 0.4900
Pm 0.7098 0.1141 0.8502
Pm 0.8325 0.4900 0.6132
Pm 0.8502 0.7098 0.1141
Pm 0.8859 0.1498 0.2902
Si 0.0370 0.2041 0.5823
Si 0.2041 0.5823 0.0370
Si 0.4177 0.9630 0.7959
Si 0.5823 0.0370 0.2041
Si 0.7959 0.4177 0.9630
Si 0.9630 0.7959 0.4177
Ge 0.0000 0.0000 0.0000
Ge 0.5000 0.5000 0.5000

Calculated values
N(E_F), states/eV per cell: 13.4
Symmetry: R-3, No. 148
Total energy, eV/atom: -5.37


Record 14
Here is a relaxed SrTcN3 crystal from Alexandria via LeMat-Bulk. Energies are from PBE.

Unit cell a=3.7198 b=3.9748 c=5.0759 alpha=82.24 beta=89.77 gamma=89.90
Fractional coordinates of all 5 atoms:
Sr 0.0000 0.0000 0.0000
Tc 0.5012 0.5864 0.5723
N 0.4992 0.4496 0.9941
N 0.5004 0.5607 0.2139
N 0.5015 0.0422 0.6179

Calculated values
N(E_F), states/eV per cell: 1.7
Symmetry: P1, No. 1
Total energy, eV/atom: -7.59


Record 15
Here is a relaxed La2AgIr crystal from Alexandria via LeMat-Bulk. Energies are from PBE.

Unit cell a=7.8690 b=7.8690 c=7.8690 alpha=31.35 beta=31.35 gamma=31.35
Fractional coordinates of all 4 atoms:
La 0.2356 0.2356 0.2356
La 0.7644 0.7644 0.7644
Ag 0.0000 0.0000 0.0000
Ir 0.5000 0.5000 0.5000

Calculated values
Offset from the most stable computed form, meV per atom: 0
N(E_F), states/eV per cell: 1.6
Symmetry: R-3m, No. 166
Formation energy from the elements, eV per formula unit: -2.10
Total energy, eV/atom: -5.92


Record 16
Here is a relaxed Sc2InBi crystal from Alexandria via LeMat-Bulk. Energies are from PBE.

Unit cell a=6.5398 b=6.5398 c=6.5398 alpha=104.75 beta=104.75 gamma=119.39
Fractional coordinates of all 8 atoms:
Sc 0.1242 0.6250 0.9992
Sc 0.3750 0.3742 0.4992
Sc 0.6258 0.1250 0.0008
Sc 0.8750 0.8758 0.5008
In 0.2500 0.7500 0.5000
In 0.5000 0.5000 0.0000
Bi 0.0000 0.0000 0.0000
Bi 0.7500 0.2500 0.5000

Calculated values
Offset from the most stable computed form, meV per atom: 181
N(E_F), states/eV per cell: 6.9
Symmetry: I-42d, No. 122
Formation energy from the elements, eV per formula unit: -0.87
Total energy, eV/atom: -5.04


Record 17
Here is a relaxed Ge2O2F crystal from Alexandria via LeMat-Bulk. Energies are from PBE.

Unit cell a=3.6298 b=3.6298 c=4.9352 alpha=103.08 beta=103.08 gamma=90.77
Fractional coordinates of all 5 atoms:
Ge 0.2101 0.2101 0.2765
Ge 0.7899 0.7899 0.7235
O 0.2540 0.7460 0.5000
O 0.7460 0.2540 0.5000
F 0.5000 0.5000 0.0000

Calculated values
N(E_F), states/eV per cell: 2.0
Symmetry: C2/m, No. 12
Total energy, eV/atom: -5.50


Record 18
Here is a relaxed Th2ZnIn crystal from Alexandria via LeMat-Bulk. Energies are from PBE.

Unit cell a=3.4484 b=3.4484 c=8.9092 alpha=90.00 beta=90.00 gamma=90.00
Fractional coordinates of all 4 atoms:
Th 0.0000 0.0000 0.2322
Th 0.0000 0.0000 0.7678
Zn 0.5000 0.5000 0.0000
In 0.5000 0.5000 0.5000

Calculated values
N(E_F), states/eV per cell: 4.6
Symmetry: P4/mmm, No. 123
Formation energy from the elements, eV per formula unit: -0.84
Total energy, eV/atom: -4.92